Entry 1:
Density functional theory data (PBE) for a relaxed PrScNO crystal.

Cell and atoms, written as extended XYZ:
```
8
Lattice="-0.2149 4.1412 0.6848 -2.7363 0.3818 -3.1673 -6.3197 -1.2074 5.3149" Properties=species:S:1:pos:R:3 pbc="T T T"
Sc -3.9968 2.5985 2.3729
Sc -5.2575 0.7188 0.4469
O -8.4152 0.1170 3.1010
O -7.1545 1.9967 5.0271
Pr -3.0476 3.2336 -1.1610
Pr -6.2324 0.0816 3.9998
N -4.3215 0.4454 2.3940
N -4.9779 2.8632 0.4639
```

Entry 2:
Density functional theory data (PBE) for a relaxed PrSiNO crystal.

Cell and atoms, written as extended XYZ:
```
16
Lattice="4.8675 0.0000 0.0000 0.0000 5.3102 0.0000 0.0000 0.0000 9.2234" Properties=species:S:1:pos:R:3 pbc="T T T"
Pr 2.6252 5.2910 3.1933
Pr 0.1915 0.0192 6.0301
Pr 0.1915 2.6743 3.1933
Pr 2.6252 2.6359 6.0301
Si 4.8050 0.4558 0.7334
Si 2.3712 4.8545 8.4899
Si 2.3712 2.1993 0.7334
Si 4.8050 3.1109 8.4899
O 0.2124 0.0025 2.2658
O 0.2124 2.6576 6.9576
O 2.6461 5.3077 6.9576
O 2.6461 2.6526 2.2658
N 3.0776 0.6184 0.4478
N 0.6439 4.6918 8.7756
N 0.6439 2.0367 0.4478
N 3.0776 3.2736 8.7756
```

Entry 3:
Density functional theory data (PBE) for a relaxed PrSiNO crystal.

Cell and atoms, written as extended XYZ:
```
8
Lattice="3.8495 0.0000 0.0000 0.0000 5.0549 0.0000 0.0000 0.0000 5.3798" Properties=species:S:1:pos:R:3 pbc="T T T"
Pr 1.9247 1.2657 2.6835
Pr 1.9247 3.7892 5.3734
N 0.0000 2.5216 4.0252
N 0.0000 2.5333 1.3353
O 1.9248 1.1723 0.0000
O 1.9247 3.8825 2.6900
Si 0.0000 1.3457 5.3743
Si 0.0000 3.7092 2.6844
```

Entry 4:
Density functional theory data (PBE) for a relaxed PrSiNO crystal.

Cell and atoms, written as extended XYZ:
```
8
Lattice="-0.9638 1.4219 4.4124 -3.7367 -2.9056 0.1202 2.9327 -3.6958 1.8316" Properties=species:S:1:pos:R:3 pbc="T T T"
O 0.0000 0.0000 0.0000
O -2.3502 -0.7418 2.2663
Si 1.0581 -5.1407 1.8878
Si -0.4756 0.7030 2.2101
N 0.0685 -3.8936 1.2697
N 0.5140 -0.5440 2.8281
Pr 1.4664 -1.8479 0.9158
Pr -0.8838 -2.5898 3.1821
```

Entry 5:
Density functional theory data (PBE) for a relaxed PrSiNO crystal.

Cell and atoms, written as extended XYZ:
```
8
Lattice="-1.9302 3.3103 1.1320 -1.5490 -1.9679 3.1134 6.0518 2.0549 4.3097" Properties=species:S:1:pos:R:3 pbc="T T T"
Pr 2.4869 2.7373 6.8134
Pr 0.0858 0.6601 1.7419
Si 1.3816 0.3791 4.7730
Si 1.1910 3.0182 3.7823
O -1.6443 -0.6484 2.6181
O -1.8349 1.9908 1.6274
N 2.2004 1.3781 3.2478
N 0.3722 2.0192 5.3074
```

Entry 6:
Density functional theory data (PBE) for a relaxed PrSiNO crystal.

Cell and atoms, written as extended XYZ:
```
8
Lattice="3.3220 0.0000 0.0000 0.0000 5.2955 0.0000 0.0000 0.0000 6.2215" Properties=species:S:1:pos:R:3 pbc="T T T"
Pr 0.0000 4.3217 3.3649
Pr 0.0000 0.9738 0.2541
O 1.6610 0.6192 4.5533
O 1.6610 4.6763 1.4425
N 0.0000 1.6441 2.6697
N 0.0000 3.6514 5.7805
Si 1.6610 3.4044 0.2749
Si 1.6610 1.8911 3.3856
```

What are the DFT total energy values for these records? In order: -8.226, -7.466, -7.513, -7.080, -7.190, -7.541 eV per atom.
What are the excess energy over the best structure of this formula in the dataset values for these records? In order: 4.1, 74.6, 27.4, 461.1, 351.0, 0.0 meV per atom.